No. 1
Here is a relaxed structure of Cd2RuF from Alexandria. Energies are from GGA-PBE.

Cell: 6.567 6.567 6.567 Å, 90.00 90.00 90.00°
Space group Fm-3m (No. 225)
Unique sites:
Cd 0.250 0.250 0.250 x8
Ru 0.000 0.000 0.000 x4
F 0.000 0.000 0.500 x4

Properties
Volume   17.703 A^3/atom
Raw formation energy   41 meV/atom
E   -3.204 eV/atom
Total moment   1.8 μB per formula unit
ΔE to the lowest computed polymorph   153 meV/atom


No. 2
Here is a relaxed structure of K2InSb from Alexandria. Energies are from GGA-PBE.

Cell: 5.482 5.482 9.374 Å, 90.00 90.00 90.00°
Space group I-4m2 (No. 119)
Unique sites:
K 0.000 0.000 0.000 x2
K 0.000 0.500 0.250 x2
In 0.000 0.000 0.500 x2
Sb 0.000 0.500 0.750 x2

Properties
Volume   35.209 A^3/atom
Raw formation energy   -205 meV/atom
E   -2.469 eV/atom
Total moment   0.0 μB per formula unit
ΔE to the lowest computed polymorph   122 meV/atom


No. 3
Here is a relaxed structure of Cu4Se3 from Alexandria. Energies are from GGA-PBE.

Cell: 10.259 10.259 10.259 Å, 90.00 90.00 90.00°
Space group Fd-3m (No. 227, origin choice 2)
Unique sites:
Cu 0.008 0.008 0.242 x32
Se 0.000 0.000 0.000 x16
Se 0.125 0.125 0.625 x8

Properties
Volume   19.284 A^3/atom
Raw formation energy   -62 meV/atom
E   -3.896 eV/atom
Total moment   0.0 μB per formula unit
ΔE to the lowest computed polymorph   0 meV/atom